Here is a relaxed structure of HfZrGa from OQMD. Energies are from GGA-PBE.

a = 5.4487 Å, b = 5.4487 Å, c = 5.4487 Å
α = 120.82°, β = 104.13°, γ = 104.09°
Sites, in units of the cell vectors:
Ga (0.7499, 0.2499, 0.5000)
Ga (0.7499, 0.7499, 0.0000)
Hf (0.2502, 0.1543, 0.5958)
Hf (0.5585, 0.6543, 0.4042)
Zr (0.9414, 0.3458, 0.0956)
Zr (0.2501, 0.8458, 0.9044)

crystal system	orthorhombic
theoretical density	9.33	g/cm³
SG	Ima2

---

Here is a relaxed structure of Hf2Zr2Ga from OQMD. Energies are from GGA-PBE.

a = 7.7520 Å, b = 7.7520 Å, c = 7.7520 Å
α = 150.11°, β = 150.11°, γ = 42.78°
Sites, in units of the cell vectors:
Ga (0.0000, 0.0000, 0.0000)
Hf (0.2500, 0.7500, 0.5000)
Hf (0.7500, 0.2500, 0.5000)
Zr (0.5884, 0.5884, 0.0000)
Zr (0.4116, 0.4116, 0.0000)

crystal system	tetragonal
theoretical density	8.77	g/cm³
SG	I4/mmm

---

Here is a relaxed structure of HfZrGa from OQMD. Energies are from GGA-PBE.

a = 6.6926 Å, b = 5.4839 Å, c = 5.4068 Å
α = 75.83°, β = 52.61°, γ = 51.56°
Sites, in units of the cell vectors:
Zr (0.1531, 0.8469, 0.1531)
Zr (0.8469, 0.1531, 0.8469)
Ga (0.7500, 0.7500, 0.7500)
Ga (0.2500, 0.2500, 0.2500)
Hf (0.6552, 0.6552, 0.3448)
Hf (0.3448, 0.3448, 0.6552)

crystal system	orthorhombic
theoretical density	9.34	g/cm³
SG	Fmmm

---

Per-record energy above the most stable polymorph in this dataset, eV/atom: 0.004; 0.000; 0.000